Entry from Alexandria via LeMat-Bulk: an optimized crystal structure of LaH2RuI (PBE).

The structure belongs to space group P4/mmm (No. 123); the cell edges are 4.262, 4.262 and 5.451 Å and the angles 90.00°, 90.00° and 90.00°. The asymmetric unit holds La at (0.000, 0.000, 0.000), H at (0.000, 0.500, 0.000), Ru at (0.000, 0.000, 0.500) and I at (0.500, 0.500, 0.500).

The value obtained for the energy above the most stable polymorph in this dataset is 0.00 eV/f.u. Its crystal system is tetragonal.

***

Entry from Alexandria via LeMat-Bulk: an optimized crystal structure of Pr5ErIn6 (PBE).

The structure belongs to space group C2/m (No. 12); the cell edges are 9.472, 16.454 and 5.488 Å and the angles 90.00°, 125.36° and 90.00°. The asymmetric unit holds Pr at (0.000, 0.000, 0.000), Pr at (0.000, 0.164, 0.500), Pr at (0.000, 0.327, 0.000), Er at (0.000, 0.500, 0.500), In at (0.233, 0.500, 0.233) and In at (0.241, 0.338, 0.741).

Its total energy is -4.22 eV per atom. Its crystal system is monoclinic.

***

Entry from Alexandria via LeMat-Bulk: an optimized crystal structure of CeNdGa2 (PBE).

The structure belongs to space group Pnma (No. 62); the cell edges are 7.116, 4.294 and 13.572 Å and the angles 90.00°, 90.00° and 90.00°. The asymmetric unit holds Ce at (0.122, 0.250, 0.034), Nd at (0.149, 0.250, 0.328), Ga at (0.029, 0.250, 0.821) and Ga at (0.166, 0.250, 0.648).

Its total energy is -4.62 eV per atom. Its crystal system is orthorhombic.

***

Entry from Alexandria via LeMat-Bulk: an optimized crystal structure of Mg2HgBr (PBE).

The structure belongs to space group C2/m (No. 12); the cell edges are 6.747, 8.359 and 3.585 Å and the angles 90.00°, 106.86° and 90.00°. The asymmetric unit holds Mg at (0.250, 0.250, 0.000), Hg at (0.000, 0.000, 0.500) and Br at (0.000, 0.500, 0.500).

The value obtained for the energy above the most stable polymorph in this dataset is 0.75 eV/f.u. Its crystal system is monoclinic. The uncorrected formation energy comes out at -0.300 eV per atom.

***

Entry from Alexandria via LeMat-Bulk: an optimized crystal structure of Te3Rh5 (PBE).

The structure belongs to space group Pnma (No. 62); the cell edges are 10.215, 7.863 and 7.046 Å and the angles 90.00°, 90.00° and 90.00°. The asymmetric unit holds Te at (0.036, 0.250, 0.081), Te at (0.191, 0.531, 0.408), Rh at (0.044, 0.048, 0.788), Rh at (0.057, 0.250, 0.457), Rh at (0.189, 0.750, 0.104) and Rh at (0.201, 0.750, 0.694).

The value obtained for the energy above the most stable polymorph in this dataset is 0.00 eV/f.u. Its crystal system is orthorhombic. The uncorrected formation energy comes out at -0.125 eV per atom.

***

Entry from Alexandria via LeMat-Bulk: an optimized crystal structure of Ti2As2Br (PBE).

The structure belongs to space group P4/mbm (No. 127); the cell edges are 7.322, 7.322 and 3.387 Å and the angles 90.00°, 90.00° and 90.00°. The asymmetric unit holds Ti at (0.147, 0.353, 0.000), As at (0.136, 0.636, 0.500) and Br at (0.000, 0.000, 0.000).

Its crystal system is tetragonal. The uncorrected formation energy comes out at -0.676 eV per atom.

***

Entry from Alexandria via LeMat-Bulk: an optimized crystal structure of AlTlGa3 (PBE).

The structure belongs to space group Pm-3m (No. 221); the cell edges are 5.378, 5.378 and 5.378 Å and the angles 90.00°, 90.00° and 90.00°. The asymmetric unit holds Al at (0.000, 0.000, 0.000), Tl at (0.500, 0.500, 0.500) and Ga at (0.000, 0.500, 0.500).

The value obtained for the energy above the most stable polymorph in this dataset is 2.51 eV/f.u. Its crystal system is cubic.

***

Entry from Alexandria via LeMat-Bulk: an optimized crystal structure of Rb4Cd3PbF12 (PBE).

The structure belongs to space group Im-3m (No. 229); the cell edges are 9.178, 9.178 and 9.178 Å and the angles 90.00°, 90.00° and 90.00°. The asymmetric unit holds Rb at (0.250, 0.250, 0.250), Cd at (0.000, 0.000, 0.500), Pb at (0.000, 0.000, 0.000), F at (0.000, 0.000, 0.260) and F at (0.000, 0.250, 0.500).

Its crystal system is cubic. The uncorrected formation energy comes out at -2.462 eV per atom.

***

- Which formula does entry 5 have?
  Te3Rh5